# Sc2InRhC (PBE, relaxed)
# DFT total energy   -34.57 eV for the cell shown
# Energy of formation from the pure elements   -518.3 meV per atom
# Magnetization   0.0 μB/f.u.
# V   85 Å³/f.u.
# Crystal system   tetragonal
# Density   6.3 g/cm³
data_Sc2InRhC
_symmetry_space_group_name_H-M 'P 4/m m m'
_symmetry_Int_Tables_number 123
_symmetry_space_group_name_Hall '-P 4 2'
_cell_length_a 4.536
_cell_length_b 4.536
_cell_length_c 4.110
_cell_angle_alpha 90.00
_cell_angle_beta 90.00
_cell_angle_gamma 90.00
loop_
_atom_site_label
_atom_site_type_symbol
_atom_site_fract_x
_atom_site_fract_y
_atom_site_fract_z
_atom_site_occupancy
Sc1 Sc 0.000 0.500 0.000 1
In1 In 0.000 0.000 0.500 1
Rh1 Rh 0.500 0.500 0.500 1
C1 C 0.500 0.500 0.000 1

---

# AlRe2Os (PBE, relaxed)
# DFT total energy   -159.71 eV for the cell shown
# Energy of formation from the pure elements   -14.9 meV per atom
# Magnetization   0.0 μB/f.u.
# V   58 Å³/f.u.
# Crystal system   cubic
# Density   16.8 g/cm³
data_AlRe2Os
_symmetry_space_group_name_H-M 'F -4 3 m'
_symmetry_Int_Tables_number 216
_symmetry_space_group_name_Hall 'F -4 2 3'
_cell_length_a 6.149
_cell_length_b 6.149
_cell_length_c 6.149
_cell_angle_alpha 90.00
_cell_angle_beta 90.00
_cell_angle_gamma 90.00
loop_
_atom_site_label
_atom_site_type_symbol
_atom_site_fract_x
_atom_site_fract_y
_atom_site_fract_z
_atom_site_occupancy
Al1 Al 0.000 0.000 0.000 1
Re1 Re 0.000 0.000 0.500 1
Re2 Re 0.250 0.250 0.750 1
Os1 Os 0.250 0.250 0.250 1

---

# Ce6Ge2Te3Se (PBE, relaxed)
# DFT total energy   -145.77 eV for the cell shown
# Magnetization   5.5 μB/f.u.
# V   354 Å³/f.u.
# Formation energy (no corrections)   -1261.3 meV/atom
# Crystal system   monoclinic
# Density   6.8 g/cm³
data_Ce6Ge2Te3Se
_symmetry_space_group_name_H-M 'C 1 2/m 1'
_symmetry_Int_Tables_number 12
_symmetry_space_group_name_Hall '-C 2y'
_cell_length_a 19.135
_cell_length_b 4.347
_cell_length_c 8.779
_cell_angle_alpha 90.00
_cell_angle_beta 104.41
_cell_angle_gamma 90.00
loop_
_atom_site_label
_atom_site_type_symbol
_atom_site_fract_x
_atom_site_fract_y
_atom_site_fract_z
_atom_site_occupancy
Ce1 Ce 0.006 0.000 0.239 1
Ce2 Ce 0.162 0.500 0.097 1
Ce3 Ce 0.172 0.500 0.570 1
Ge1 Ge 0.166 0.000 0.331 1
Te1 Te 0.000 0.500 0.500 1
Te2 Te 0.166 0.000 0.833 1
Se1 Se 0.000 0.500 0.000 1

---

# Mg2AlTc (PBE, relaxed)
# DFT total energy   -33.99 eV for the cell shown
# Energy of formation from the pure elements   75.4 meV per atom
# Magnetization   0.0 μB/f.u.
# V   71 Å³/f.u.
# Crystal system   orthorhombic
# Density   4.1 g/cm³
data_Mg2AlTc
_symmetry_space_group_name_H-M 'C m m 2'
_symmetry_Int_Tables_number 35
_symmetry_space_group_name_Hall 'C 2 -2'
_cell_length_a 3.351
_cell_length_b 4.601
_cell_length_c 9.162
_cell_angle_alpha 90.00
_cell_angle_beta 90.00
_cell_angle_gamma 90.00
loop_
_atom_site_label
_atom_site_type_symbol
_atom_site_fract_x
_atom_site_fract_y
_atom_site_fract_z
_atom_site_occupancy
Mg1 Mg 0.000 0.000 0.000 1
Mg2 Mg 0.000 0.500 0.290 1
Al1 Al 0.000 0.500 0.735 1
Tc1 Tc 0.000 0.000 0.527 1

---

# Pr4NdDy2 (PBE, relaxed)
# DFT total energy   -57.17 eV for the cell shown
# Energy of formation from the pure elements   643.6 meV per atom
# Magnetization   0.0 μB/f.u.
# V   286 Å³/f.u.
# Energy above the lowest structure with this stoichiometry   581 meV per atom
# Crystal system   tetragonal
# Density   6.0 g/cm³
data_Pr4NdDy2
_symmetry_space_group_name_H-M 'I 4/m m m'
_symmetry_Int_Tables_number 139
_symmetry_space_group_name_Hall '-I 4 2'
_cell_length_a 5.813
_cell_length_b 5.813
_cell_length_c 16.907
_cell_angle_alpha 90.00
_cell_angle_beta 90.00
_cell_angle_gamma 90.00
loop_
_atom_site_label
_atom_site_type_symbol
_atom_site_fract_x
_atom_site_fract_y
_atom_site_fract_z
_atom_site_occupancy
Pr1 Pr 0.000 0.000 0.186 1
Pr2 Pr 0.000 0.500 0.000 1
Nd1 Nd 0.000 0.000 0.000 1
Dy1 Dy 0.000 0.000 0.391 1

---

# PuAl4Au8 (PBE, relaxed)
# DFT total energy   -120.86 eV for the cell shown
# Energy of formation from the pure elements   -377.5 meV per atom
# Magnetization   5.6 μB/f.u.
# V   237 Å³/f.u.
# Crystal system   tetragonal
# Density   13.5 g/cm³
data_PuAl4Au8
_symmetry_space_group_name_H-M 'I 4/m m m'
_symmetry_Int_Tables_number 139
_symmetry_space_group_name_Hall '-I 4 2'
_cell_length_a 9.254
_cell_length_b 9.254
_cell_length_c 5.524
_cell_angle_alpha 90.00
_cell_angle_beta 90.00
_cell_angle_gamma 90.00
loop_
_atom_site_label
_atom_site_type_symbol
_atom_site_fract_x
_atom_site_fract_y
_atom_site_fract_z
_atom_site_occupancy
Pu1 Pu 0.000 0.000 0.000 1
Al1 Al 0.250 0.250 0.250 1
Au1 Au 0.000 0.219 0.500 1
Au2 Au 0.000 0.329 0.000 1